Entry 1:
# AlIn2Sb2

AlIn2Sb2 after structural relaxation (GGA-PBE, Alexandria via LeMat-Bulk).

Summary:
The uncorrected formation energy is 0.24 eV per atom. Its energy above the most stable polymorph in this dataset is 0.0487 eV/atom.

Cell lengths 8.278, 8.278, 3.966 Å; angles 90.00, 90.00, 90.00 degrees
Fractional positions:
In: 0.643 0.143 0.000
Al: 0.000 0.000 0.000
Sb: 0.656 0.844 0.500
Sb: 0.844 0.344 0.500
Sb: 0.344 0.156 0.500
Al: 0.500 0.500 0.000
In: 0.143 0.357 0.000
In: 0.357 0.857 0.000
Sb: 0.156 0.656 0.500
In: 0.857 0.643 0.000

***

Entry 2:
# AlInSb

AlInSb after structural relaxation (GGA-PBE, Alexandria via LeMat-Bulk).

Summary:
The uncorrected formation energy is 0.16 eV per atom. Its energy above the most stable polymorph in this dataset is 0.0918 eV/atom.

Cell lengths 4.892, 4.892, 4.892 Å; angles 60.00, 60.00, 60.00 degrees
Fractional positions:
Al: 0.750 0.750 0.750
In: 0.000 0.000 0.000
Sb: 0.500 0.500 0.500

***

Entry 3:
# AlInSb2

AlInSb2 after structural relaxation (GGA-PBE, Alexandria via LeMat-Bulk).

Summary:
The uncorrected formation energy is 0.08 eV per atom. Its energy above the most stable polymorph in this dataset is 0.2220 eV/atom.

Cell lengths 3.352, 5.195, 5.941 Å; angles 90.00, 90.00, 90.00 degrees
Fractional positions:
Sb: 0.500 0.500 0.375
Al: 0.000 0.000 0.375
In: 0.500 0.500 0.876
Sb: 0.000 0.000 0.875

***

Entry 4:
# AlInSb2

AlInSb2 after structural relaxation (GGA-PBE, Alexandria via LeMat-Bulk).

Summary:
The uncorrected formation energy is 0.21 eV per atom. Its energy above the most stable polymorph in this dataset is 0.3532 eV/atom.

Cell lengths 5.462, 5.462, 5.462 Å; angles 126.57, 126.57, 78.96 degrees
Fractional positions:
Al: 0.500 0.500 0.000
In: 0.750 0.250 0.500
Sb: 0.000 0.000 0.000
Sb: 0.250 0.750 0.500

***

Entry 5:
# AlIn3Sb

AlIn3Sb after structural relaxation (GGA-PBE, Alexandria via LeMat-Bulk).

Summary:
The uncorrected formation energy is 0.69 eV per atom. Its energy above the most stable polymorph in this dataset is 0.3607 eV/atom.

Cell lengths 5.700, 5.700, 5.700 Å; angles 90.00, 90.00, 90.00 degrees
Fractional positions:
In: 0.000 0.500 0.000
Al: 0.500 0.500 0.500
In: 0.000 0.000 0.500
Sb: 0.000 0.000 0.000
In: 0.500 0.000 0.000

***

Entry 6:
# AlInSb2

AlInSb2 after structural relaxation (GGA-PBE, Alexandria via LeMat-Bulk).

Summary:
The uncorrected formation energy is 0.20 eV per atom. Its energy above the most stable polymorph in this dataset is 0.3415 eV/atom.

Cell lengths 3.956, 5.046, 5.119 Å; angles 90.00, 90.00, 90.00 degrees
Fractional positions:
Sb: 0.000 0.000 0.000
In: 0.000 0.500 0.500
Al: 0.500 0.000 0.500
Sb: 0.500 0.500 0.000

***

Entry 7:
# Al2TlInSb

Al2TlInSb after structural relaxation (GGA-PBE, Alexandria via LeMat-Bulk).

Summary:
The uncorrected formation energy is 0.65 eV per atom. Its energy above the most stable polymorph in this dataset is 0.0098 eV/atom.

Cell lengths 5.251, 5.251, 6.363 Å; angles 90.00, 90.00, 90.00 degrees
Fractional positions:
Al: 0.500 0.000 0.000
Sb: 0.000 0.000 0.000
In: 0.000 0.000 0.500
Tl: 0.500 0.500 0.500
Al: 0.000 0.500 0.000

***

Entry 8:
# Al2TlInSb

Al2TlInSb after structural relaxation (GGA-PBE, Alexandria via LeMat-Bulk).

Summary:
The uncorrected formation energy is 0.64 eV per atom. Its energy above the most stable polymorph in this dataset is 0.0000 eV/atom.

Cell lengths 5.318, 5.318, 5.800 Å; angles 90.00, 90.00, 90.00 degrees
Fractional positions:
Sb: 0.000 0.000 0.500
Al: 0.500 0.000 0.000
In: 0.000 0.000 0.000
Tl: 0.500 0.500 0.500
Al: 0.000 0.500 0.000

***

Entry 9:
# Sc2AlIn

Sc2AlIn after structural relaxation (GGA-PBE, Alexandria via LeMat-Bulk).

Summary:
The calculation puts the formation energy at 0.012 eV per atom.

Cell lengths 7.764, 7.764, 6.297 Å; angles 51.94, 51.94, 90.00 degrees
Fractional positions:
In: 0.000 0.000 0.000
Al: 0.500 0.500 0.000
Sc: 0.614 0.125 0.250
Sc: 0.375 0.386 0.750
Sc: 0.875 0.864 0.750
In: 0.750 0.250 0.500
Al: 0.250 0.750 0.500
Sc: 0.136 0.625 0.250

***

Entry 10:
# ScAl3In

ScAl3In after structural relaxation (GGA-PBE, Alexandria via LeMat-Bulk).

Summary:
Its energy above the most stable polymorph in this dataset is 0.0231 eV/atom. The calculation puts the formation energy at 0.821 eV per atom.

Cell lengths 5.330, 5.330, 5.330 Å; angles 90.00, 90.00, 90.00 degrees
Fractional positions:
Al: 0.000 0.500 0.000
In: 0.500 0.500 0.500
Al: 0.000 0.000 0.500
Sc: 0.000 0.000 0.000
Al: 0.500 0.000 0.000

***

Entry 11:
# ScAl4In

ScAl4In after structural relaxation (GGA-PBE, Alexandria via LeMat-Bulk).

Summary:
The calculation puts the formation energy at -0.149 eV per atom.

Cell lengths 5.447, 5.447, 5.447 Å; angles 60.00, 60.00, 60.00 degrees
Fractional positions:
Al: 0.375 0.375 0.875
In: 0.750 0.750 0.750
Al: 0.375 0.875 0.375
Al: 0.375 0.375 0.375
Al: 0.875 0.375 0.375
Sc: 0.000 0.000 0.000

***

Entry 12:
# Sc2Al2In

Sc2Al2In after structural relaxation (GGA-PBE, Alexandria via LeMat-Bulk).

Summary:
Its energy above the most stable polymorph in this dataset is 0.0000 eV/atom. The calculation puts the formation energy at -0.461 eV per atom.

Cell lengths 3.205, 4.405, 7.432 Å; angles 107.24, 90.00, 90.00 degrees
Fractional positions:
In: 0.000 0.000 0.000
Al: 0.000 0.202 0.403
Sc: 0.500 0.381 0.762
Al: 0.000 0.798 0.597
Sc: 0.500 0.619 0.238

***

Entry 13:
# Sc8AlIn2

Sc8AlIn2 after structural relaxation (GGA-PBE, Alexandria via LeMat-Bulk).

Summary:
The calculation puts the formation energy at -0.121 eV per atom.

Cell lengths 5.137, 8.159, 8.159 Å; angles 120.00, 103.80, 103.80 degrees
Fractional positions:
Sc: 0.865 0.674 0.897
Sc: 0.702 0.398 0.398
In: 0.000 0.696 0.304
Sc: 0.135 0.326 0.103
Sc: 0.500 0.795 0.205
Sc: 0.298 0.602 0.602
Sc: 0.500 0.205 0.795
In: 0.000 0.304 0.696
Sc: 0.865 0.897 0.674
Al: 0.500 0.000 0.000
Sc: 0.135 0.103 0.326

***

Entry 14:
# Sc6AlIn2

Sc6AlIn2 after structural relaxation (GGA-PBE, Alexandria via LeMat-Bulk).

Summary:
The calculation puts the formation energy at -0.035 eV per atom.

Cell lengths 4.816, 6.845, 8.367 Å; angles 114.14, 106.73, 90.00 degrees
Fractional positions:
In: 0.334 0.334 0.667
Al: 0.000 0.000 0.000
Sc: 0.162 0.918 0.325
In: 0.666 0.666 0.333
Sc: 0.500 0.761 0.000
Sc: 0.500 0.239 0.000
Sc: 0.838 0.082 0.675
Sc: 0.838 0.594 0.675
Sc: 0.162 0.406 0.325

***

Entry 15:
# Sc2AlIn

Sc2AlIn after structural relaxation (GGA-PBE, Alexandria via LeMat-Bulk).

Summary:
The calculation puts the formation energy at -0.346 eV per atom.

Cell lengths 5.948, 5.948, 4.826 Å; angles 66.03, 66.03, 33.86 degrees
Fractional positions:
In: 0.235 0.235 0.264
Al: 0.510 0.510 0.491
Sc: 0.998 0.998 0.003
Sc: 0.757 0.757 0.742

***

Entry 16:
# Sc5Al4In

Sc5Al4In after structural relaxation (GGA-PBE, Alexandria via LeMat-Bulk).

Summary:
The calculation puts the formation energy at -0.439 eV per atom.

Cell lengths 3.361, 3.361, 17.620 Å; angles 90.00, 90.00, 90.00 degrees
Fractional positions:
Al: 0.000 0.000 0.404
Al: 0.000 0.000 0.596
In: 0.000 0.000 0.000
Sc: 0.500 0.500 0.500
Al: 0.000 0.000 0.790
Sc: 0.500 0.500 0.888
Sc: 0.500 0.500 0.692
Al: 0.000 0.000 0.210
Sc: 0.500 0.500 0.112
Sc: 0.500 0.500 0.308

***

Entry 17:
# ScAlIn4

ScAlIn4 after structural relaxation (GGA-PBE, Alexandria via LeMat-Bulk).

Summary:
The calculation puts the formation energy at 0.141 eV per atom.

Cell lengths 5.958, 5.958, 5.958 Å; angles 60.00, 60.00, 60.00 degrees
Fractional positions:
In: 0.375 0.375 0.375
In: 0.876 0.375 0.375
In: 0.375 0.876 0.375
Sc: 0.750 0.750 0.750
Al: 0.000 0.000 0.000
In: 0.375 0.375 0.876

***

Entry 18:
# Sc2AlIn

Sc2AlIn after structural relaxation (GGA-PBE, Alexandria via LeMat-Bulk).

Summary:
The calculation puts the formation energy at -0.253 eV per atom.

Cell lengths 5.117, 5.117, 5.633 Å; angles 77.08, 77.08, 38.81 degrees
Fractional positions:
Al: 0.750 0.750 0.750
Sc: 0.005 0.005 0.988
In: 0.250 0.250 0.250
Sc: 0.495 0.495 0.512

***

Entry 19:
# Sc2AlIn

Sc2AlIn after structural relaxation (GGA-PBE, Alexandria via LeMat-Bulk).

Summary:
The calculation puts the formation energy at -0.315 eV per atom.

Cell lengths 5.744, 5.744, 5.744 Å; angles 137.15, 137.15, 62.20 degrees
Fractional positions:
In: 0.750 0.250 0.500
Sc: 0.250 0.750 0.500
Al: 0.500 0.500 0.000
Sc: 0.000 0.000 0.000

***

Entry 20:
# Sc2AlIn

Sc2AlIn after structural relaxation (GGA-PBE, Alexandria via LeMat-Bulk).

Summary:
The calculation puts the formation energy at -0.003 eV per atom.

Cell lengths 4.952, 4.952, 4.952 Å; angles 60.00, 60.00, 60.00 degrees
Fractional positions:
Al: 0.500 0.500 0.500
In: 0.750 0.750 0.750
Sc: 0.250 0.250 0.250
Sc: 0.000 0.000 0.000

***

Entry 21:
# Sc2AlIn

Sc2AlIn after structural relaxation (GGA-PBE, Alexandria via LeMat-Bulk).

Summary:
The calculation puts the formation energy at -0.424 eV per atom.

Cell lengths 3.119, 4.259, 6.306 Å; angles 90.00, 90.00, 90.00 degrees
Fractional positions:
In: 0.500 0.500 0.750
Al: 0.500 0.500 0.250
Sc: 0.000 0.000 0.010
Sc: 0.000 0.000 0.490

***

Entry 22:
# Sc2AlIn

Sc2AlIn after structural relaxation (GGA-PBE, Alexandria via LeMat-Bulk).

Summary:
The calculation puts the formation energy at -0.437 eV per atom.

Cell lengths 3.134, 3.134, 8.528 Å; angles 90.00, 90.00, 90.01 degrees
Fractional positions:
Al: 0.500 0.500 0.250
Sc: 0.000 0.000 0.018
In: 0.500 0.500 0.750
Sc: 0.000 0.000 0.482

***

Entry 23:
# Sc2AlIn

Sc2AlIn after structural relaxation (GGA-PBE, Alexandria via LeMat-Bulk).

Summary:
The calculation puts the formation energy at -0.423 eV per atom.

Cell lengths 5.280, 5.280, 5.280 Å; angles 130.22, 130.22, 73.05 degrees
Fractional positions:
Sc: 0.000 0.000 0.000
In: 0.750 0.250 0.500
Sc: 0.500 0.500 0.000
Al: 0.250 0.750 0.500

***

Entry 24:
# ScAl3In

ScAl3In after structural relaxation (GGA-PBE, Alexandria via LeMat-Bulk).

Summary:
Its energy above the most stable polymorph in this dataset is 0.0000 eV/atom. The calculation puts the formation energy at 0.798 eV per atom.

Cell lengths 5.119, 5.119, 5.119 Å; angles 90.00, 90.00, 90.00 degrees
Fractional positions:
Al: 0.000 0.500 0.000
Sc: 0.500 0.500 0.500
In: 0.000 0.000 0.000
Al: 0.000 0.000 0.500
Al: 0.500 0.000 0.000

***

Entry 25:
# Sc9AlIn2

Sc9AlIn2 after structural relaxation (GGA-PBE, Alexandria via LeMat-Bulk).

Summary:
The calculation puts the formation energy at -0.274 eV per atom.

Cell lengths 4.490, 4.490, 13.453 Å; angles 90.00, 90.00, 90.00 degrees
Fractional positions:
Sc: 0.000 0.500 0.500
Al: 0.000 0.000 0.000
Sc: 0.500 0.500 0.331
Sc: 0.500 0.000 0.500
In: 0.000 0.000 0.669
Sc: 0.500 0.500 0.000
Sc: 0.500 0.000 0.839
Sc: 0.000 0.500 0.839
Sc: 0.500 0.000 0.161
Sc: 0.500 0.500 0.669
Sc: 0.000 0.500 0.161
In: 0.000 0.000 0.331

***

Entry 26:
# Sc2AlIn

Sc2AlIn after structural relaxation (GGA-PBE, Alexandria via LeMat-Bulk).

Summary:
The calculation puts the formation energy at 0.357 eV per atom.

Cell lengths 6.707, 6.707, 6.707 Å; angles 54.97, 152.85, 133.17 degrees
Fractional positions:
Al: 0.000 0.000 0.000
In: 0.000 0.500 0.500
Sc: 0.000 0.758 0.758
Sc: 0.000 0.242 0.242

***

Entry 27:
# Sc2AlIn

Sc2AlIn after structural relaxation (GGA-PBE, Alexandria via LeMat-Bulk).

Summary:
The calculation puts the formation energy at -0.173 eV per atom.

Cell lengths 3.301, 3.301, 8.058 Å; angles 90.00, 90.00, 90.00 degrees
Fractional positions:
In: 0.500 0.500 0.731
Sc: 0.500 0.500 0.274
Al: 0.000 0.000 0.502
Sc: 0.000 0.000 0.993

***

Entry 28:
# Sc2AlIn

Sc2AlIn after structural relaxation (GGA-PBE, Alexandria via LeMat-Bulk).

Summary:
The calculation puts the formation energy at -0.277 eV per atom.

Cell lengths 9.549, 9.549, 9.549 Å; angles 20.06, 20.06, 20.06 degrees
Fractional positions:
Al: 0.250 0.250 0.250
In: 0.750 0.750 0.750
Sc: 0.994 0.994 0.994
Sc: 0.506 0.506 0.506